(1)
Computed, not measured: crystalline LaYRu4 at its relaxed geometry at the PBE level of DFT. Values from VASP.

Computed properties:
The value obtained for the formation enthalpy at 0 K is -178.2 meV/atom. As for the mass density: 9390 kg/m³.

Quantum ESPRESSO input file:
```
&SYSTEM
  ibrav = 0, nat = 6, ntyp = 3
/
ATOMIC_SPECIES
La 138.91 La.upf
Y 88.91 Y.upf
Ru 101.07 Ru.upf
CELL_PARAMETERS angstrom
0.0000 3.8233 3.8233
3.8233 0.0000 3.8233
3.8233 3.8233 0.0000
ATOMIC_POSITIONS crystal
La 0.0000 0.0000 0.0000
Y 0.7500 0.7500 0.7500
Ru 0.3753 0.3753 0.3753
Ru 0.3753 0.3753 0.8740
Ru 0.3753 0.8740 0.3753
Ru 0.8740 0.3753 0.3753
```



(2)
Computed, not measured: crystalline La2Y3Ru2 at its relaxed geometry at the PBE level of DFT. Values from VASP.

Computed properties:
The value obtained for the formation enthalpy at 0 K is -295.7 meV/atom. As for the mass density: 6344 kg/m³.

Quantum ESPRESSO input file:
```
&SYSTEM
  ibrav = 0, nat = 7, ntyp = 3
/
ATOMIC_SPECIES
La 138.91 La.upf
Y 88.91 Y.upf
Ru 101.07 Ru.upf
CELL_PARAMETERS angstrom
6.1514 -1.9424 0.0000
6.1514 1.9424 0.0000
-3.8262 0.0000 8.1783
ATOMIC_POSITIONS crystal
La 0.1687 0.1687 0.2984
La 0.8313 0.8313 0.7016
Y 0.3784 0.3784 0.0807
Y 0.5000 0.5000 0.5000
Y 0.6216 0.6216 0.9193
Ru 0.1839 0.1839 0.7337
Ru 0.8161 0.8161 0.2663
```